# 1
First-principles (GGA-PBE) data for a relaxed structure of AlAg2Ru, as listed in the Alexandria database.

Cell lengths 9.1539, 9.1539, 9.1539 Å; angles 18.06, 18.06, 18.06 degrees
Element x y z (fractional)
Al 0.0000 0.0000 0.0000
Ag 0.5076 0.5076 0.5076
Ag 0.7497 0.7497 0.7497
Ru 0.2627 0.2627 0.2627

Results
SG: No. 160


# 2
First-principles (GGA-PBE) data for a relaxed structure of AlAg2Ru, as listed in the Alexandria database.

Cell lengths 3.3049, 4.2065, 4.5597 Å; angles 90.00, 90.00, 90.00 degrees
Element x y z (fractional)
Al 0.0000 0.0000 0.0000
Ag 0.0000 0.5000 0.5000
Ag 0.5000 0.0000 0.5000
Ru 0.5000 0.5000 0.0000

Results
SG: No. 47


# 3
First-principles (GGA-PBE) data for a relaxed structure of AlAgRu2, as listed in the Alexandria database.

Cell lengths 2.7575, 2.7575, 9.0252 Å; angles 90.00, 90.00, 117.13 degrees
Element x y z (fractional)
Al 0.0000 0.0000 0.0000
Ag 0.5000 0.5000 0.2556
Ru 0.0000 0.0000 0.5305
Ru 0.5000 0.5000 0.7717

Results
SG: No. 35


# 4
First-principles (GGA-PBE) data for a relaxed structure of AlAg2Ru, as listed in the Alexandria database.

Cell lengths 3.1203, 3.1203, 6.6014 Å; angles 90.00, 90.00, 90.00 degrees
Element x y z (fractional)
Al 0.0000 0.0000 0.0000
Ag 0.0000 0.0000 0.4522
Ag 0.5000 0.5000 0.7304
Ru 0.5000 0.5000 0.1775

Results
SG: No. 99


# 5
First-principles (GGA-PBE) data for a relaxed structure of AlAgRu2, as listed in the Alexandria database.

Cell lengths 4.3598, 4.3598, 3.0913 Å; angles 90.00, 90.00, 90.00 degrees
Element x y z (fractional)
Al 0.0000 0.0000 0.0000
Ag 0.5000 0.5000 0.0000
Ru 0.0000 0.5000 0.5000
Ru 0.5000 0.0000 0.5000

Results
SG: No. 123


# 6
First-principles (GGA-PBE) data for a relaxed structure of AlAg2Ru, as listed in the Alexandria database.

Cell lengths 3.9408, 5.9232, 5.9232 Å; angles 28.15, 90.00, 90.00 degrees
Element x y z (fractional)
Al 0.0000 0.0000 0.0000
Ag 0.0000 0.2238 0.2238
Ag 0.5000 0.8460 0.8460
Ru 0.5000 0.5731 0.5731

Results
SG: No. 38


# 7
First-principles (GGA-PBE) data for a relaxed structure of AlAgRu2, as listed in the Alexandria database.

Cell lengths 5.3631, 5.3631, 5.3631 Å; angles 148.88, 130.68, 59.47 degrees
Element x y z (fractional)
Al 0.0000 0.0000 0.0000
Ag 0.5000 0.5000 0.0000
Ru 0.2198 0.7198 0.5000
Ru 0.7802 0.2802 0.5000

Results
SG: No. 71


# 8
First-principles (GGA-PBE) data for a relaxed structure of AlAg2Ru, as listed in the Alexandria database.

Cell lengths 5.0466, 5.0466, 2.7922 Å; angles 90.00, 90.00, 115.19 degrees
Element x y z (fractional)
Al 0.0000 0.0000 0.0000
Ag 0.0000 0.5000 0.5000
Ag 0.5000 0.0000 0.5000
Ru 0.5000 0.5000 0.0000

Results
SG: No. 65


# 9
First-principles (GGA-PBE) data for a relaxed structure of AlAg2Ru, as listed in the Alexandria database.

Cell lengths 5.4651, 5.4651, 5.4651 Å; angles 148.05, 132.19, 58.66 degrees
Element x y z (fractional)
Al 0.0000 0.0000 0.0000
Ag 0.2358 0.7358 0.5000
Ag 0.7642 0.2642 0.5000
Ru 0.5000 0.5000 0.0000

Results
SG: No. 71


# 10
First-principles (GGA-PBE) data for a relaxed structure of ScAlAgRu2, as listed in the Alexandria database.

Cell lengths 4.5270, 4.5270, 4.5342 Å; angles 90.00, 90.00, 90.00 degrees
Element x y z (fractional)
Sc 0.0000 0.0000 0.0000
Al 0.5000 0.5000 0.5000
Ag 0.5000 0.5000 0.0000
Ru 0.0000 0.5000 0.5000
Ru 0.5000 0.0000 0.5000

Results
SG: No. 123


# 11
First-principles (GGA-PBE) data for a relaxed structure of ScAlAgRu, as listed in the Alexandria database.

Cell lengths 4.5226, 4.5226, 4.5226 Å; angles 60.00, 60.00, 60.00 degrees
Element x y z (fractional)
Sc 0.0000 0.0000 0.0000
Al 0.5000 0.5000 0.5000
Ag 0.2500 0.2500 0.2500
Ru 0.7500 0.7500 0.7500

Results
SG: No. 216


# 12
First-principles (GGA-PBE) data for a relaxed structure of AlAgTe2Ru, as listed in the Alexandria database.

Cell lengths 5.4805, 5.4805, 4.7320 Å; angles 90.00, 90.00, 90.00 degrees
Element x y z (fractional)
Al 0.0000 0.0000 0.0000
Ag 0.0000 0.0000 0.5000
Te 0.0000 0.5000 0.5000
Te 0.5000 0.0000 0.5000
Ru 0.5000 0.5000 0.0000

Results
SG: No. 123


# 13
First-principles (GGA-PBE) data for a relaxed structure of TiAlAgRu, as listed in the Alexandria database.

Cell lengths 4.4247, 4.4247, 4.4247 Å; angles 60.00, 60.00, 60.00 degrees
Element x y z (fractional)
Ti 0.0000 0.0000 0.0000
Al 0.5000 0.5000 0.5000
Ag 0.7500 0.7500 0.7500
Ru 0.2500 0.2500 0.2500

Results
SG: No. 216


# 14
First-principles (GGA-PBE) data for a relaxed structure of TmAlAgRu, as listed in the Alexandria database.

Cell lengths 4.6462, 4.6462, 4.6462 Å; angles 60.00, 60.00, 60.00 degrees
Element x y z (fractional)
Tm 0.0000 0.0000 0.0000
Al 0.5000 0.5000 0.5000
Ag 0.2500 0.2500 0.2500
Ru 0.7500 0.7500 0.7500

Results
SG: No. 216


# 15
First-principles (GGA-PBE) data for a relaxed structure of AlZn2AgRu, as listed in the Alexandria database.

Cell lengths 4.7780, 4.7780, 4.6251 Å; angles 90.00, 90.00, 90.00 degrees
Element x y z (fractional)
Al 0.0000 0.0000 0.0000
Zn 0.0000 0.5000 0.5000
Zn 0.5000 0.0000 0.5000
Ag 0.5000 0.5000 0.0000
Ru 0.0000 0.0000 0.5000

Results
SG: No. 123


no.,total moment (μB per atom),calculated total energy (eV per atom)
1,0.00,-4.669
2,0.00,-4.647
3,0.24,-6.058
4,0.00,-4.707
5,0.00,-6.155
6,0.12,-4.654
7,0.00,-6.212
8,0.16,-4.475
9,0.07,-4.610
10,0.17,-5.869
11,0.00,-5.950
12,0.54,-3.287
13,0.00,-6.268
14,0.00,-5.404
15,0.00,-3.288